VASP calculation (PBE-GGA) on a relaxed Tb8AgIr5 crystal.

abc: 8.7225 8.7225 8.6490
angles: 90.00 90.00 90.00
Space group I-4 (No. 82)
Symmetry-distinct sites (fractional):
Tb 0.0631 0.1911 0.3213
Tb 0.0678 0.3244 0.9381
Ag 0.0000 0.0000 0.0000
Ir 0.0000 0.5000 0.2500
Ir 0.1317 0.2535 0.6293

Theoretical density ... 11.812 g cm⁻³
DOS(E_F) ... 0.245 states/eV per atom
Electronic total energy ... -6.694 eV/atom
Formation energy ... -680 meV/atom

---

VASP calculation (PBE-GGA) on a relaxed Tb6AgIr5 crystal.

abc: 4.9192 6.9189 14.7689
angles: 90.00 90.00 90.00
Space group Immm (No. 71)
Symmetry-distinct sites (fractional):
Tb 0.0000 0.2412 0.0000
Tb 0.0000 0.2541 0.3295
Ag 0.0000 0.0000 0.5000
Ir 0.0000 0.0000 0.1666
Ir 0.0000 0.5000 0.1640
Ir 0.0000 0.5000 0.5000

Theoretical density ... 13.362 g cm⁻³
DOS(E_F) ... 0.577 states/eV per atom
Electronic total energy ... -6.971 eV/atom
Formation energy ... -726 meV/atom

---

VASP calculation (PBE-GGA) on a relaxed Tb5Ag2Ir2 crystal.

abc: 15.4801 7.5359 7.7133
angles: 90.00 90.00 90.00
Space group Cmce (No. 64)
Symmetry-distinct sites (fractional):
Tb 0.0000 0.0000 0.0000
Tb 0.1234 0.1669 0.3313
Ag 0.2103 0.0000 0.0000
Ir 0.0000 0.1352 0.6350

Theoretical density ... 10.296 g cm⁻³
DOS(E_F) ... 0.884 states/eV per atom
Electronic total energy ... -5.731 eV/atom
Formation energy ... -556 meV/atom

---

VASP calculation (PBE-GGA) on a relaxed Tb5AgIr2 crystal.

abc: 7.7768 7.7768 13.3985
angles: 90.00 90.00 90.00
Space group I4/mcm (No. 140)
Symmetry-distinct sites (fractional):
Tb 0.0000 0.0000 0.0000
Tb 0.1598 0.3402 0.1350
Ag 0.0000 0.0000 0.2500
Ir 0.1403 0.3597 0.5000

Theoretical density ... 10.549 g cm⁻³
DOS(E_F) ... 0.993 states/eV per atom
Electronic total energy ... -6.084 eV/atom
Formation energy ... -618 meV/atom

---

VASP calculation (PBE-GGA) on a relaxed Tb3AgIr crystal.

abc: 3.9701 14.2544 9.9669
angles: 90.00 90.00 90.00
Space group Amm2 (No. 38)
Symmetry-distinct sites (fractional):
Tb 0.0000 0.1249 0.0000
Tb 0.0000 0.1248 0.3754
Tb 0.5000 0.1682 0.6877
Ag 0.0000 0.0000 0.6870
Ag 0.5000 0.0000 0.1876
Ir 0.5000 0.2500 0.4376

Theoretical density ... 9.148 g cm⁻³
DOS(E_F) ... 0.617 states/eV per atom
Electronic total energy ... -5.545 eV/atom
Formation energy ... -424 meV/atom

---

VASP calculation (PBE-GGA) on a relaxed TbAgIr crystal.

abc: 10.0256 5.5268 4.9858
angles: 90.00 118.97 90.00
Space group C2/m (No. 12)
Symmetry-distinct sites (fractional):
Tb 0.1274 0.0000 0.3780
Ag 0.2500 0.2500 0.0000
Ir 0.0541 0.5000 0.3027

Theoretical density ... 12.615 g cm⁻³
DOS(E_F) ... 0.532 states/eV per atom
Electronic total energy ... -5.678 eV/atom
Formation energy ... -230 meV/atom

---

VASP calculation (PBE-GGA) on a relaxed Tb5AgIr4 crystal.

abc: 3.4618 3.4618 17.8029
angles: 90.00 90.00 90.00
Space group P4/mmm (No. 123)
Symmetry-distinct sites (fractional):
Tb 0.0000 0.0000 0.0000
Tb 0.0000 0.0000 0.1921
Tb 0.0000 0.0000 0.3821
Ag 0.5000 0.5000 0.5000
Ir 0.5000 0.5000 0.0969
Ir 0.5000 0.5000 0.2926

Theoretical density ... 13.008 g cm⁻³
DOS(E_F) ... 0.798 states/eV per atom
Electronic total energy ... -6.851 eV/atom
Formation energy ... -706 meV/atom

---

VASP calculation (PBE-GGA) on a relaxed TbAgIr crystal.

abc: 3.5848 3.5848 9.3402
angles: 90.00 90.00 90.00
Space group I4mm (No. 107)
Symmetry-distinct sites (fractional):
Tb 0.0000 0.0000 0.0000
Ag 0.0000 0.0000 0.3147
Ir 0.0000 0.0000 0.6541

Theoretical density ... 12.700 g cm⁻³
DOS(E_F) ... 0.886 states/eV per atom
Electronic total energy ... -5.702 eV/atom
Formation energy ... -254 meV/atom